No. 1
Below is a geometry-optimized LaCr2RuPt structure, with properties calculated at the PBE-GGA level.

formation energy from the elements	367	meV/atom
crystal system	tetragonal

```
LaCr2RuPt
1.0
4.525 0.000 0.000
0.000 5.273 0.000
0.000 0.000 4.525
Cr Pt La Ru
2 1 1 1
Direct
0.500 0.000 0.000
0.000 0.000 0.500
0.000 0.500 0.000
0.500 0.500 0.500
0.000 0.000 0.000
```

No. 2
Below is a geometry-optimized La2CrSbPt structure, with properties calculated at the PBE-GGA level.

energy relative to the elements, uncorrected	-0.159	eV/atom
crystal system	tetragonal

```
La2CrSbPt
1.0
-1.056 -4.806 2.317
3.173 -1.944 -2.586
3.737 1.019 3.818
La Sb Pt Cr
2 1 1 1
Direct
0.500 0.000 0.000
0.000 0.000 0.500
0.500 0.500 0.500
0.000 0.500 0.000
0.000 0.000 0.000
```

No. 3
Below is a geometry-optimized La2CrSi3Pt12 structure, with properties calculated at the PBE-GGA level.

energy relative to the elements, uncorrected	-0.491	eV/atom
crystal system	trigonal

```
La2CrSi3Pt12
1.0
7.741 -0.255 -0.181
3.601 6.857 -0.181
3.601 2.096 6.531
Pt Cr La Si
12 1 2 3
Direct
0.646 0.102 0.646
0.354 0.354 0.898
0.128 0.128 0.626
0.102 0.646 0.646
0.626 0.128 0.128
0.128 0.626 0.128
0.872 0.872 0.374
0.374 0.872 0.872
0.354 0.898 0.354
0.872 0.374 0.872
0.646 0.646 0.102
0.898 0.354 0.354
0.000 0.000 0.000
0.386 0.386 0.386
0.614 0.614 0.614
0.000 0.500 0.000
0.500 0.000 0.000
0.000 0.000 0.500
```

No. 4
Below is a geometry-optimized LaV2CrPt structure, with properties calculated at the PBE-GGA level.

formation energy from the elements	228	meV/atom
crystal system	tetragonal

```
LaV2CrPt
1.0
4.458 0.000 0.000
0.000 4.928 0.000
0.000 0.000 4.458
Cr Pt La V
1 1 1 2
Direct
0.000 0.000 0.000
0.000 0.500 0.000
0.500 0.500 0.500
0.500 0.000 0.000
0.000 0.000 0.500
```

No. 5
Below is a geometry-optimized LaCrPtW2 structure, with properties calculated at the PBE-GGA level.

formation energy from the elements	1186	meV/atom
crystal system	tetragonal

```
LaCrPtW2
1.0
4.901 0.000 0.000
0.000 4.901 0.000
0.000 0.000 4.924
W Pt La Cr
2 1 1 1
Direct
0.500 0.000 0.000
0.000 0.500 0.000
0.000 0.000 0.000
0.500 0.500 0.500
0.000 0.000 0.500
```

No. 6
Below is a geometry-optimized RbLa3Cr structure, with properties calculated at the PBE-GGA level.

formation energy from the elements	1430	meV/atom
E above lowest polymorph	0.943	eV per atom
crystal system	cubic

```
RbLa3Cr
1.0
5.713 0.000 0.000
0.000 5.713 0.000
0.000 0.000 5.713
La Rb Cr
3 1 1
Direct
0.000 0.500 0.000
0.500 0.000 0.000
0.000 0.000 0.500
0.000 0.000 0.000
0.500 0.500 0.500
```

No. 7
Below is a geometry-optimized RbLaCr3 structure, with properties calculated at the PBE-GGA level.

formation energy from the elements	2041	meV/atom
E above lowest polymorph	0.000	eV per atom
crystal system	cubic

```
RbLaCr3
1.0
5.484 0.000 0.000
0.000 5.484 0.000
0.000 0.000 5.484
Cr La Rb
3 1 1
Direct
0.000 0.000 0.500
0.000 0.500 0.000
0.500 0.000 0.000
0.500 0.500 0.500
0.000 0.000 0.000
```

No. 8
Below is a geometry-optimized RbLa3Cr structure, with properties calculated at the PBE-GGA level.

formation energy from the elements	486	meV/atom
E above lowest polymorph	0.000	eV per atom
crystal system	cubic

```
RbLa3Cr
1.0
-4.774 -2.314 -2.224
2.650 -0.594 -5.071
1.811 -5.233 1.559
Cr La Rb
1 3 1
Direct
0.000 0.000 0.000
0.500 0.000 0.000
0.000 0.000 0.500
0.000 0.500 0.000
0.500 0.500 0.500
```

No. 9
Below is a geometry-optimized Rb3LaCr structure, with properties calculated at the PBE-GGA level.

formation energy from the elements	1390	meV/atom
crystal system	cubic

```
Rb3LaCr
1.0
-1.462 -6.154 3.649
5.316 -3.427 -3.650
4.789 1.925 5.166
Rb La Cr
3 1 1
Direct
0.000 0.500 0.000
0.500 0.000 0.000
0.000 0.000 0.500
0.000 0.000 0.000
0.500 0.500 0.500
```

No. 10
Below is a geometry-optimized RbLaCr3 structure, with properties calculated at the PBE-GGA level.

formation energy from the elements	2396	meV/atom
E above lowest polymorph	0.355	eV per atom
crystal system	cubic

```
RbLaCr3
1.0
4.815 0.000 0.000
0.000 4.815 0.000
0.000 0.000 4.815
La Cr Rb
1 3 1
Direct
0.000 0.000 0.000
0.500 0.000 0.000
0.000 0.000 0.500
0.000 0.500 0.000
0.500 0.500 0.500
```

No. 11
Below is a geometry-optimized Rb4La3CrS8 structure, with properties calculated at the PBE-GGA level.

energy relative to the elements, uncorrected	-1.563	eV/atom
crystal system	trigonal

```
Rb4La3CrS8
1.0
-0.297 -5.647 6.142
6.089 -5.082 -4.378
2.091 7.903 1.693
Cr La S Rb
1 3 8 4
Direct
0.000 0.500 0.000
0.500 0.500 0.500
0.500 0.500 0.000
0.000 0.500 0.500
0.212 0.686 0.973
0.266 0.297 0.531
0.788 0.314 0.027
0.239 0.314 0.027
0.212 0.686 0.425
0.788 0.314 0.575
0.761 0.686 0.973
0.734 0.703 0.469
0.500 0.000 0.500
0.500 0.000 0.000
0.000 0.000 0.000
0.000 0.000 0.500
```

No. 12
Below is a geometry-optimized RbLaScCr2 structure, with properties calculated at the PBE-GGA level.

formation energy from the elements	2296	meV/atom
crystal system	tetragonal

```
RbLaScCr2
1.0
-4.661 0.363 0.535
-0.230 -5.164 1.500
0.615 1.276 4.488
La Cr Rb Sc
1 2 1 1
Direct
0.000 0.500 0.000
0.500 0.000 0.000
0.000 0.000 0.500
0.000 0.000 0.000
0.500 0.500 0.500
```

No. 13
Below is a geometry-optimized Rb4La3CrSe8 structure, with properties calculated at the PBE-GGA level.

energy relative to the elements, uncorrected	-1.488	eV/atom
crystal system	trigonal

```
Rb4La3CrSe8
1.0
8.680 0.000 0.000
0.000 9.415 0.511
-4.340 -4.332 6.141
Se Cr Rb La
8 1 4 3
Direct
0.761 0.689 0.975
0.214 0.689 0.428
0.214 0.689 0.975
0.786 0.311 0.572
0.735 0.706 0.471
0.786 0.311 0.025
0.239 0.311 0.025
0.265 0.294 0.529
0.000 0.500 0.000
0.000 0.000 0.000
0.500 0.000 0.000
0.500 0.000 0.500
0.000 0.000 0.500
0.000 0.500 0.500
0.500 0.500 0.500
0.500 0.500 0.000
```

No. 14
Below is a geometry-optimized Rb3La3CrSe8 structure, with properties calculated at the PBE-GGA level.

energy relative to the elements, uncorrected	-1.435	eV/atom
crystal system	trigonal

```
Rb3La3CrSe8
1.0
-1.695 -0.118 8.401
-4.415 -5.055 -5.334
9.053 -2.523 1.791
Cr La Se Rb
1 3 8 3
Direct
0.000 0.000 0.500
0.000 0.500 0.500
0.500 0.500 0.500
0.500 0.000 0.500
0.206 0.975 0.681
0.794 0.587 0.319
0.794 0.025 0.319
0.735 0.470 0.706
0.769 0.975 0.681
0.206 0.413 0.681
0.265 0.530 0.294
0.231 0.025 0.319
0.000 0.000 0.000
0.000 0.500 0.000
0.500 0.500 0.000
```

No. 15
Below is a geometry-optimized LaCr4Re structure, with properties calculated at the PBE-GGA level.

formation energy from the elements	568	meV/atom
crystal system	cubic

```
LaCr4Re
1.0
0.000 3.563 3.563
3.563 0.000 3.563
3.563 3.563 0.000
Cr La Re
4 1 1
Direct
0.626 0.626 0.123
0.123 0.626 0.626
0.626 0.626 0.626
0.626 0.123 0.626
0.250 0.250 0.250
0.000 0.000 0.000
```

No. 16
Below is a geometry-optimized LaCrRe3 structure, with properties calculated at the PBE-GGA level.

formation energy from the elements	3306	meV/atom
E above lowest polymorph	2.326	eV per atom
crystal system	cubic

```
LaCrRe3
1.0
-3.486 -3.193 0.039
0.848 -0.871 4.569
-3.078 3.376 1.215
Re Cr La
3 1 1
Direct
0.500 0.000 0.000
0.000 0.500 0.000
0.000 0.000 0.500
0.500 0.500 0.500
0.000 0.000 0.000
```

No. 17
Below is a geometry-optimized La2CrRe structure, with properties calculated at the PBE-GGA level.

formation energy from the elements	351	meV/atom
E above lowest polymorph	0.083	eV per atom
crystal system	orthorhombic

```
La2CrRe
1.0
-4.332 4.556 -1.421
-4.445 4.188 2.059
1.810 4.514 0.536
La Re Cr
2 1 1
Direct
0.232 0.232 0.268
0.017 0.017 0.983
0.442 0.442 0.558
0.810 0.810 0.690
```

No. 18
Below is a geometry-optimized La2CrRe structure, with properties calculated at the PBE-GGA level.

formation energy from the elements	667	meV/atom
E above lowest polymorph	0.400	eV per atom
crystal system	tetragonal

```
La2CrRe
1.0
5.592 -0.350 0.000
2.379 5.072 0.000
-3.986 -2.361 3.151
La Cr Re
2 1 1
Direct
0.250 0.750 0.500
0.000 0.000 0.000
0.750 0.250 0.500
0.500 0.500 0.000
```

No. 19
Below is a geometry-optimized LaCr3Re structure, with properties calculated at the PBE-GGA level.

formation energy from the elements	2327	meV/atom
E above lowest polymorph	1.510	eV per atom
crystal system	cubic

```
LaCr3Re
1.0
4.393 0.000 0.000
0.000 4.393 0.000
0.000 0.000 4.393
Cr La Re
3 1 1
Direct
0.000 0.000 0.500
0.500 0.000 0.000
0.000 0.500 0.000
0.000 0.000 0.000
0.500 0.500 0.500
```

No. 20
Below is a geometry-optimized LaCrRe4 structure, with properties calculated at the PBE-GGA level.

formation energy from the elements	428	meV/atom
crystal system	cubic

```
LaCrRe4
1.0
0.000 3.806 3.806
3.806 0.000 3.806
3.806 3.806 0.000
Re Cr La
4 1 1
Direct
0.872 0.376 0.376
0.376 0.376 0.872
0.376 0.376 0.376
0.376 0.872 0.376
0.750 0.750 0.750
0.000 0.000 0.000
```

Number 1: V 108.0 Å³/cell. Number 2: V 134.1 Å³/cell. Number 3: V 358.8 Å³/cell. Number 4: V 97.9 Å³/cell. Number 5: V 118.3 Å³/cell. Number 6: V 186.4 Å³/cell. Number 7: V 164.9 Å³/cell. Number 8: V 190.4 Å³/cell. Number 9: V 389.4 Å³/cell. Number 10: V 111.7 Å³/cell. Number 11: V 463.1 Å³/cell. Number 12: V 119.2 Å³/cell. Number 13: V 521.1 Å³/cell. Number 14: V 520.9 Å³/cell. Number 15: V 90.4 Å³/cell. Number 16: V 105.7 Å³/cell. Number 17: V 97.7 Å³/cell. Number 18: V 92.0 Å³/cell. Number 19: V 84.8 Å³/cell. Number 20: V 110.3 Å³/cell.